Entry 1:
## Sm8PdPb2 (GGA-PBE)

Data for a geometry-optimized Sm8PdPb2 structure.

Summary:
Magnetic moment in Bohr magnetons per cell: 0.000
D(E_F) in states/eV/f.u.: 9.048
ΔE_f in eV per formula unit: -3.67

Unit cell a=5.0833 b=6.9542 c=10.1495 alpha=103.17 beta=104.50 gamma=90.00
With the nearest neighbours (Å) after each atom.
Fractional coordinates of all 11 atoms:
Pb (0.1823, 0.7662, 0.3645)  9 Sm 3.21-3.46
Pb (0.8177, 0.2338, 0.6355)  9 Sm 3.21-3.46
Sm (0.2147, 0.3276, 0.4295)  3 Pb 3.26-3.41, 4 Sm 3.43-3.55
Sm (0.4086, 0.5227, 0.8173)  1 Pd 3.38, 2 Pb 3.46, 6 Sm 3.50-3.73
Sm (0.7853, 0.6724, 0.5705)  3 Pb 3.26-3.41, 4 Sm 3.43-3.55
Sm (0.0150, 0.7770, 0.0300)  2 Pd 3.03, 1 Sm 3.29, 1 Pb 3.31
Sm (0.6468, 0.0078, 0.2936)  1 Pd 2.87, 2 Pb 3.21
Sm (0.3532, 0.9922, 0.7064)  1 Pd 2.87, 2 Pb 3.21
Sm (0.5914, 0.4773, 0.1827)  1 Pd 3.38, 2 Pb 3.46, 6 Sm 3.50-3.73
Sm (0.9850, 0.2230, 0.9700)  2 Pd 3.03, 1 Sm 3.29, 1 Pb 3.31
Pd (0.5000, 0.0000, 0.0000)  6 Sm 2.87-3.03

---

Entry 2:
## Ba3AcPu2O9 (GGA-PBE)

Data for a geometry-optimized Ba3AcPu2O9 structure.

Summary:
Formation energy from raw total energies in eV/atom: -2.922
Magnetic moment in Bohr magnetons per cell: 7.000
D(E_F) in states/eV/f.u.: 9.831

Unit cell a=6.3191 b=6.3191 c=7.9898 alpha=90.00 beta=90.00 gamma=120.00
With the nearest neighbours (Å) after each atom.
Fractional coordinates of all 15 atoms:
O (0.0000, 0.5000, 0.0000)  2 Pu 2.23
O (0.3451, 0.1726, 0.6916)  1 Pu 2.12
O (0.1726, 0.3451, 0.3084)  1 Pu 2.12
O (0.5000, 0.0000, 0.0000)  2 Pu 2.23
O (0.6549, 0.8274, 0.3084)  1 Pu 2.12
O (0.1726, 0.8274, 0.3084)  1 Pu 2.12
O (0.5000, 0.5000, 0.0000)  2 Pu 2.23
O (0.8274, 0.6549, 0.6916)  1 Pu 2.12
O (0.8274, 0.1726, 0.6916)  1 Pu 2.12
Ba (0.0000, 0.0000, 0.0000)  12 O 3.10-3.16
Ba (0.6667, 0.3333, 0.3010)  9 O 3.02-3.16
Ba (0.3333, 0.6667, 0.6990)  9 O 3.02-3.16
Pu (0.3333, 0.6667, 0.1600)  6 O 2.12-2.23
Pu (0.6667, 0.3333, 0.8400)  6 O 2.12-2.23
Ac (0.0000, 0.0000, 0.5000)  6 O 2.43

---

Entry 3:
## BaCu3F (GGA-PBE)

Data for a geometry-optimized BaCu3F structure.

Summary:
Formation energy from raw total energies in eV/atom: 0.109
Magnetic moment in Bohr magnetons per cell: 0.000
D(E_F) in states/eV/f.u.: 3.568

Unit cell a=4.6483 b=4.6483 c=4.6483 alpha=90.00 beta=90.00 gamma=90.00
With the nearest neighbours (Å) after each atom.
Fractional coordinates of all 5 atoms:
F (0.0000, 0.0000, 0.0000)  6 Cu 2.32
Cu (0.5000, 0.0000, 0.0000)  2 F 2.32
Cu (0.0000, 0.0000, 0.5000)  2 F 2.32
Cu (0.0000, 0.5000, 0.0000)  2 F 2.32
Ba (0.5000, 0.5000, 0.5000)  12 Cu 3.29

---

| no. | volume (Å³ per cell) |
| --- | --- |
| 1 | 338 |
| 2 | 276 |
| 3 | 100 |